This record from the Alexandria database describes an optimized crystal structure of ScCr. The functional is GGA-PBE.

Results
- total energy (eV per atom) = -7.594
- volume (Å³ per cell) = 70
- calculated density (g cm⁻³) = 4.6
- DOS(E_F) (states/eV per cell) = 6.512

Lattice parameters (Å, degrees): 3.0222 9.0137 3.0222 99.65 60.00 99.65
With the nearest neighbours (Å) after each atom.
Atoms (fractional coordinates):
Sc 0.7363 0.2088 0.7363  3 Cr 2.81, 6 Sc 3.02
Sc 0.5137 0.5412 0.5137  3 Cr 2.81, 6 Sc 3.02
Cr 0.2634 0.7902 0.2634  3 Cr 2.30
Cr 0.9866 0.9598 0.9866  3 Cr 2.30